(A)
Below is a relaxed structure of Fe2Re2Ag, with properties calculated at the PBE-GGA level.

Cell lengths 7.220, 7.220, 2.665 Å; angles 90.00, 90.00, 90.00 degrees
Fractional coordinates of all 10 atoms:
Re1 0.164 0.664 0.500
Re2 0.664 0.836 0.500
Re3 0.836 0.336 0.500
Re4 0.336 0.164 0.500
Fe1 0.375 0.875 0.000
Fe2 0.875 0.625 0.000
Fe3 0.625 0.125 0.000
Fe4 0.125 0.375 0.000
Ag1 0.000 0.000 0.000
Ag2 0.500 0.500 0.000

- Fermi-level density of states (states/eV per atom) = 0.807
- SG = P4/mbm



(B)
Below is a relaxed structure of Fe2Re2Ag, with properties calculated at the PBE-GGA level.

Cell lengths 3.770, 3.770, 6.024 Å; angles 71.76, 71.76, 90.00 degrees
Fractional coordinates of all 5 atoms:
Re1 0.384 0.384 0.233
Re2 0.616 0.616 0.767
Fe1 0.750 0.250 0.500
Fe2 0.250 0.750 0.500
Ag1 0.000 0.000 0.000

- Fermi-level density of states (states/eV per atom) = 1.451
- SG = I4/mmm



(C)
Below is a relaxed structure of Fe2Re2Ag, with properties calculated at the PBE-GGA level.

Cell lengths 7.382, 7.382, 2.629 Å; angles 90.00, 90.00, 90.00 degrees
Site moments in Bohr magnetons follow the coordinates.
Fractional coordinates of all 10 atoms:
Re1 0.376 0.876 0.000  -0.16
Re2 0.876 0.624 0.000  -0.16
Re3 0.624 0.124 0.000  -0.16
Re4 0.124 0.376 0.000  -0.16
Fe1 0.166 0.666 0.500  0.79
Fe2 0.666 0.834 0.500  0.78
Fe3 0.834 0.334 0.500  0.79
Fe4 0.334 0.166 0.500  0.78
Ag1 0.000 0.000 0.000  -0.01
Ag2 0.500 0.500 0.000  -0.01

- Fermi-level density of states (states/eV per atom) = 0.663
- SG = P4/mbm



Relative energies in meV/atom: (A) 0; (B) 403; (C) 49